12
Lattice="5.883 0.000 0.000 -2.941 5.095 0.000 0.000 0.000 7.184" Properties=species:S:1:pos:R:3 comment="BaFeMo2O8 (PBE with a Hubbard U, relaxed)" vol_a3_per_cell=215.3 dos_at_fermi_per_ev_cell=0.0 final_energy_ev_per_cell=-84.40 pbc="T T T"
Ba 0.000 0.000 0.000
Fe 0.000 0.000 3.592
Mo 0.000 3.396 5.420
Mo 2.941 1.698 1.764
O -0.006 1.669 4.903
O -1.493 4.265 4.903
O 1.443 0.840 2.281
O 0.000 3.396 0.013
O 2.941 1.698 7.171
O 1.499 4.255 4.903
O 4.434 0.829 2.281
O 2.947 3.425 2.281